Record 1
Crystalline NiP2SF at its relaxed geometry. Source: Alexandria, functional GGA+U.

The structure in CIF format:
```
data_NiP2SF
_chemical_formula_sum 'Ni1 P2 S1 F1'
_cell_length_a 4.015
_cell_length_b 4.015
_cell_length_c 5.258
_cell_angle_alpha 90.00
_cell_angle_beta 90.00
_cell_angle_gamma 90.00
_space_group_name_H-M_alt 'P 4/m m m'
_space_group_IT_number 123
_space_group_name_Hall '-P 4 2'
loop_
_atom_site_label
_atom_site_fract_x
_atom_site_fract_y
_atom_site_fract_z
Ni1 0.000 0.000 0.000
P1 0.000 0.500 0.500
S1 0.500 0.500 0.000
F1 0.500 0.500 0.500
```

## Properties
Energy above the lowest structure with this stoichiometry, eV per formula unit: 1.090

Record 2
Crystalline NiPS2F at its relaxed geometry. Source: Alexandria, functional GGA+U.

The structure in CIF format:
```
data_NiPS2F
_chemical_formula_sum 'Ni1 P1 S2 F1'
_cell_length_a 4.937
_cell_length_b 4.937
_cell_length_c 3.624
_cell_angle_alpha 90.00
_cell_angle_beta 90.00
_cell_angle_gamma 90.00
_space_group_name_H-M_alt 'P 4/m m m'
_space_group_IT_number 123
_space_group_name_Hall '-P 4 2'
loop_
_atom_site_label
_atom_site_fract_x
_atom_site_fract_y
_atom_site_fract_z
Ni1 0.000 0.000 0.000
P1 0.500 0.500 0.000
S1 0.000 0.500 0.500
F1 0.500 0.500 0.500
```

## Properties
Energy above the lowest structure with this stoichiometry, eV per formula unit: 1.264

Record 3
Crystalline NiSbP2F at its relaxed geometry. Source: Alexandria, functional GGA+U.

The structure in CIF format:
```
data_NiSbP2F
_chemical_formula_sum 'Ni1 Sb1 P2 F1'
_cell_length_a 4.683
_cell_length_b 4.683
_cell_length_c 3.965
_cell_angle_alpha 90.00
_cell_angle_beta 90.00
_cell_angle_gamma 90.00
_space_group_name_H-M_alt 'P 4/m m m'
_space_group_IT_number 123
_space_group_name_Hall '-P 4 2'
loop_
_atom_site_label
_atom_site_fract_x
_atom_site_fract_y
_atom_site_fract_z
Ni1 0.000 0.000 0.000
Sb1 0.500 0.500 0.000
P1 0.000 0.500 0.500
F1 0.000 0.000 0.500
```

## Properties
Calculated total energy, eV/atom: -3.48

Record 4
Crystalline TcNi2PF at its relaxed geometry. Source: Alexandria, functional GGA+U.

The structure in CIF format:
```
data_TcNi2PF
_chemical_formula_sum 'Tc1 Ni2 P1 F1'
_cell_length_a 3.730
_cell_length_b 3.730
_cell_length_c 4.991
_cell_angle_alpha 90.00
_cell_angle_beta 90.00
_cell_angle_gamma 90.00
_space_group_name_H-M_alt 'P 4/m m m'
_space_group_IT_number 123
_space_group_name_Hall '-P 4 2'
loop_
_atom_site_label
_atom_site_fract_x
_atom_site_fract_y
_atom_site_fract_z
Tc1 0.000 0.000 0.000
Ni1 0.000 0.500 0.500
P1 0.500 0.500 0.000
F1 0.500 0.500 0.500
```

## Properties
Calculated total energy, eV/atom: -4.15

Record 5
Crystalline PaNi4F12 at its relaxed geometry. Source: Alexandria, functional GGA+U.

The structure in CIF format:
```
data_PaNi4F12
_chemical_formula_sum 'Pa2 Ni8 F24'
_cell_length_a 7.751
_cell_length_b 7.751
_cell_length_c 7.751
_cell_angle_alpha 90.00
_cell_angle_beta 90.00
_cell_angle_gamma 90.00
_space_group_name_H-M_alt 'I m -3'
_space_group_IT_number 204
_space_group_name_Hall '-I 2 2 3'
loop_
_atom_site_label
_atom_site_fract_x
_atom_site_fract_y
_atom_site_fract_z
Pa1 0.000 0.000 0.000
Ni1 0.250 0.250 0.250
F1 0.000 0.179 0.267
```

## Properties
Calculated total energy, eV/atom: -5.06

Record 6
Crystalline PaNiF at its relaxed geometry. Source: Alexandria, functional GGA+U.

The structure in CIF format:
```
data_PaNiF
_chemical_formula_sum 'Pa4 Ni4 F4'
_cell_length_a 3.875
_cell_length_b 16.883
_cell_length_c 3.178
_cell_angle_alpha 90.00
_cell_angle_beta 90.00
_cell_angle_gamma 90.00
_space_group_name_H-M_alt 'C m c m'
_space_group_IT_number 63
_space_group_name_Hall '-C 2c 2'
loop_
_atom_site_label
_atom_site_fract_x
_atom_site_fract_y
_atom_site_fract_z
Pa1 0.000 0.141 0.250
Ni1 0.000 0.453 0.750
F1 0.000 0.268 0.750
```

## Properties
Calculated total energy, eV/atom: -5.21